First-principles (GGA-PBE) data for Y3IrSe2 after structural relaxation, as listed in the Alexandria database.

a b c (Å): 7.1708 7.1708 12.9059
angles (deg): 100.81 100.81 108.97
Element x y z (fractional)
Y 0.1638 0.6849 0.8252
Y 0.6615 0.1403 0.8252
Y 0.0862 0.0651 0.6748
Y 0.5885 0.6097 0.6748
Y 0.0201 0.5201 0.5000
Y 0.4799 0.9799 0.5000
Y 0.3903 0.4115 0.3252
Y 0.9349 0.9138 0.3252
Y 0.8597 0.3385 0.1748
Y 0.3151 0.8362 0.1748
Y 0.2299 0.2299 0.0000
Y 0.7701 0.7701 0.0000
Ir 0.9167 0.9167 0.8335
Ir 0.3333 0.8333 0.6665
Ir 0.1667 0.6667 0.3335
Ir 0.0833 0.0833 0.1665
Se 0.9966 0.4966 0.9932
Se 0.4195 0.4195 0.8390
Se 0.8305 0.3305 0.6610
Se 0.2534 0.2534 0.5068
Se 0.7466 0.7466 0.4932
Se 0.6695 0.1695 0.3390
Se 0.5805 0.5805 0.1610
Se 0.5034 0.0034 0.0068

Values from the calculation:
Theoretical density   6.9 g/cm3
Total magnetization   0.000 μB per atom
E_form (uncorrected)   -1.449 eV per atom
Energy   -7.320 eV per atom